Entry 1:
VASP calculation (PBE) on a relaxed Th2SbTe crystal. Values from VASP.

Quantum ESPRESSO input file:
```
&SYSTEM
  ibrav = 0, nat = 4, ntyp = 3
/
ATOMIC_SPECIES
Th 232.04 Th.upf
Sb 121.76 Sb.upf
Te 127.60 Te.upf
ATOMIC_POSITIONS crystal
Th 0.249 0.249 0.249
Th 0.751 0.751 0.751
Sb 0.500 0.500 0.500
Te 0.000 0.000 0.000
CELL_PARAMETERS angstrom
2.251 1.300 7.282
-2.251 1.300 7.282
0.000 -2.600 7.282
```

uncorrected formation energy	-0.973	eV per atom
D(E_F)	0.729	states/eV per atom
energy	-6.499	eV/atom
E above lowest polymorph	17	meV/atom

***

Entry 2:
VASP calculation (PBE) on a relaxed TiAl crystal. Values from VASP.

Quantum ESPRESSO input file:
```
&SYSTEM
  ibrav = 0, nat = 2, ntyp = 2
/
ATOMIC_SPECIES
Ti 47.87 Ti.upf
Al 26.98 Al.upf
ATOMIC_POSITIONS crystal
Ti 0.000 0.000 0.000
Al 0.500 0.500 0.500
CELL_PARAMETERS angstrom
0.000 2.641 2.641
2.641 0.000 2.641
2.641 2.641 0.000
```

ΔE_f	226	meV/atom
D(E_F)	0.911	states/eV per atom
energy	-5.593	eV/atom

***

Entry 3:
VASP calculation (PBE) on a relaxed GaNi2AgIr crystal. Values from VASP.

Quantum ESPRESSO input file:
```
&SYSTEM
  ibrav = 0, nat = 5, ntyp = 4
/
ATOMIC_SPECIES
Ga 69.72 Ga.upf
Ni 58.69 Ni.upf
Ag 107.87 Ag.upf
Ir 192.22 Ir.upf
ATOMIC_POSITIONS crystal
Ga 0.000 0.000 0.000
Ni 0.000 0.500 0.000
Ni 0.500 0.000 0.000
Ag 0.500 0.500 0.500
Ir 0.000 0.000 0.500
CELL_PARAMETERS angstrom
4.336 0.000 0.000
0.000 4.336 0.000
0.000 0.000 4.588
```

ΔE_f	851	meV/atom
D(E_F)	1.613	states/eV per atom
energy	-4.410	eV/atom

***

Entry 4:
VASP calculation (PBE) on a relaxed YInRh2 crystal. Values from VASP.

Quantum ESPRESSO input file:
```
&SYSTEM
  ibrav = 0, nat = 4, ntyp = 3
/
ATOMIC_SPECIES
Y 88.91 Y.upf
In 114.82 In.upf
Rh 102.91 Rh.upf
ATOMIC_POSITIONS crystal
Y 0.000 0.000 0.000
In 0.500 0.500 0.000
Rh 0.000 0.500 0.500
Rh 0.500 0.000 0.500
CELL_PARAMETERS angstrom
4.539 0.000 0.000
0.000 4.539 0.000
0.000 0.000 3.553
```

ΔE_f	-743	meV/atom
D(E_F)	0.153	states/eV per atom
energy	-6.719	eV/atom

***

Entry 5:
VASP calculation (PBE) on a relaxed ZnSb2 crystal. Values from VASP.

Quantum ESPRESSO input file:
```
&SYSTEM
  ibrav = 0, nat = 6, ntyp = 2
/
ATOMIC_SPECIES
Zn 65.41 Zn.upf
Sb 121.76 Sb.upf
ATOMIC_POSITIONS crystal
Zn 0.333 0.667 0.250
Zn 0.667 0.333 0.750
Sb 0.000 0.000 0.000
Sb 0.000 0.000 0.500
Sb 0.333 0.667 0.750
Sb 0.667 0.333 0.250
CELL_PARAMETERS angstrom
5.166 0.000 0.000
-2.583 4.474 0.000
0.000 0.000 6.221
```

uncorrected formation energy	0.257	eV per atom
D(E_F)	0.837	states/eV per atom
energy	-2.916	eV/atom

***

Entry 6:
VASP calculation (PBE) on a relaxed Sm3HoIn crystal. Values from VASP.

Quantum ESPRESSO input file:
```
&SYSTEM
  ibrav = 0, nat = 10, ntyp = 3
/
ATOMIC_SPECIES
Sm 150.36 Sm.upf
Ho 164.93 Ho.upf
In 114.82 In.upf
ATOMIC_POSITIONS crystal
Sm 0.223 0.042 0.681
Sm 0.249 0.019 0.269
Sm 0.249 0.481 0.730
Sm 0.361 0.542 0.319
Sm 0.751 0.519 0.270
Sm 0.751 0.981 0.731
Ho 0.373 0.868 0.004
Ho 0.864 0.368 0.996
In 0.743 0.558 0.685
In 0.874 0.058 0.315
CELL_PARAMETERS angstrom
-5.619 4.252 3.447
5.619 -4.252 3.447
5.619 4.252 -3.447
```

ΔE_f	166	meV/atom
D(E_F)	1.132	states/eV per atom
energy	-4.129	eV/atom
E above lowest polymorph	356	meV/atom

***

Entry 7:
VASP calculation (PBE) on a relaxed LiTlAg3 crystal. Values from VASP.

Quantum ESPRESSO input file:
```
&SYSTEM
  ibrav = 0, nat = 10, ntyp = 3
/
ATOMIC_SPECIES
Li 6.94 Li.upf
Tl 204.38 Tl.upf
Ag 107.87 Ag.upf
ATOMIC_POSITIONS crystal
Li 0.027 0.250 0.225
Li 0.973 0.750 0.775
Tl 0.169 0.250 0.728
Tl 0.831 0.750 0.272
Ag 0.293 0.551 0.121
Ag 0.293 0.949 0.121
Ag 0.424 0.750 0.600
Ag 0.576 0.250 0.400
Ag 0.707 0.051 0.879
Ag 0.707 0.449 0.879
CELL_PARAMETERS angstrom
5.145 0.000 0.000
0.000 7.278 0.000
-1.207 0.000 5.353
```

ΔE_f	45	meV/atom
D(E_F)	0.224	states/eV per atom
energy	-2.522	eV/atom
E above lowest polymorph	0	meV/atom

***

Entry 8:
VASP calculation (PBE) on a relaxed Ba2LiTl4Ag3 crystal. Values from VASP.

Quantum ESPRESSO input file:
```
&SYSTEM
  ibrav = 0, nat = 10, ntyp = 4
/
ATOMIC_SPECIES
Ba 137.33 Ba.upf
Li 6.94 Li.upf
Tl 204.38 Tl.upf
Ag 107.87 Ag.upf
ATOMIC_POSITIONS crystal
Ba 0.000 0.500 0.250
Ba 0.500 0.000 0.750
Li 0.000 0.000 0.500
Tl 0.000 0.000 0.000
Tl 0.000 0.500 0.626
Tl 0.500 0.000 0.374
Tl 0.500 0.500 0.000
Ag 0.000 0.500 0.860
Ag 0.500 0.000 0.140
Ag 0.500 0.500 0.500
CELL_PARAMETERS angstrom
4.863 0.000 0.000
0.000 4.863 0.000
0.000 0.000 12.263
```

ΔE_f	-200	meV/atom
D(E_F)	0.702	states/eV per atom
energy	-2.578	eV/atom

***

Entry 9:
VASP calculation (PBE) on a relaxed PrHo2Mg6 crystal. Values from VASP.

Quantum ESPRESSO input file:
```
&SYSTEM
  ibrav = 0, nat = 9, ntyp = 3
/
ATOMIC_SPECIES
Pr 140.91 Pr.upf
Ho 164.93 Ho.upf
Mg 24.30 Mg.upf
ATOMIC_POSITIONS crystal
Pr 0.000 0.000 0.000
Ho 0.333 0.667 0.000
Ho 0.667 0.333 0.000
Mg 0.000 0.337 0.500
Mg 0.000 0.663 0.500
Mg 0.337 0.000 0.500
Mg 0.337 0.337 0.500
Mg 0.663 0.000 0.500
Mg 0.663 0.663 0.500
CELL_PARAMETERS angstrom
9.118 0.000 0.000
-4.559 7.896 0.000
0.000 0.000 3.315
```

ΔE_f	-77	meV/atom
D(E_F)	0.655	states/eV per atom
energy	-2.688	eV/atom

***

Entry 10:
VASP calculation (PBE) on a relaxed Ca2AlZnC crystal. Values from VASP.

Quantum ESPRESSO input file:
```
&SYSTEM
  ibrav = 0, nat = 5, ntyp = 4
/
ATOMIC_SPECIES
Ca 40.08 Ca.upf
Al 26.98 Al.upf
Zn 65.41 Zn.upf
C 12.01 C.upf
ATOMIC_POSITIONS crystal
Ca 0.000 0.500 0.000
Ca 0.500 0.000 0.000
Al 0.000 0.000 0.500
Zn 0.500 0.500 0.500
C 0.000 0.000 0.000
CELL_PARAMETERS angstrom
5.170 0.000 0.000
0.000 5.170 0.000
0.000 0.000 3.912
```

ΔE_f	-22	meV/atom
D(E_F)	0.639	states/eV per atom
energy	-3.671	eV/atom

***

Entry 11:
VASP calculation (PBE) on a relaxed PrCo4Ge12 crystal. Values from VASP.

Quantum ESPRESSO input file:
```
&SYSTEM
  ibrav = 0, nat = 17, ntyp = 3
/
ATOMIC_SPECIES
Pr 140.91 Pr.upf
Co 58.93 Co.upf
Ge 72.64 Ge.upf
ATOMIC_POSITIONS crystal
Pr 0.000 0.000 0.000
Co 0.000 0.000 0.500
Co 0.000 0.500 0.000
Co 0.500 0.000 0.000
Co 0.500 0.500 0.500
Ge 0.168 0.512 0.344
Ge 0.168 0.823 0.656
Ge 0.177 0.344 0.832
Ge 0.344 0.168 0.512
Ge 0.344 0.832 0.177
Ge 0.488 0.656 0.832
Ge 0.512 0.344 0.168
Ge 0.656 0.168 0.823
Ge 0.656 0.832 0.488
Ge 0.823 0.656 0.168
Ge 0.832 0.177 0.344
Ge 0.832 0.488 0.656
CELL_PARAMETERS angstrom
-4.206 4.206 4.206
4.206 -4.206 4.206
4.206 4.206 -4.206
```

ΔE_f	-133	meV/atom
D(E_F)	0.875	states/eV per atom
energy	-5.345	eV/atom

***

Entry 12:
VASP calculation (PBE) on a relaxed TmSc2Se crystal. Values from VASP.

Quantum ESPRESSO input file:
```
&SYSTEM
  ibrav = 0, nat = 4, ntyp = 3
/
ATOMIC_SPECIES
Tm 168.93 Tm.upf
Sc 44.96 Sc.upf
Se 78.96 Se.upf
ATOMIC_POSITIONS crystal
Tm 0.000 0.000 0.000
Sc 0.231 0.231 0.231
Sc 0.769 0.769 0.769
Se 0.500 0.500 0.500
CELL_PARAMETERS angstrom
1.793 1.035 8.932
-1.793 1.035 8.932
0.000 -2.071 8.932
```

uncorrected formation energy	-0.718	eV per atom
D(E_F)	1.471	states/eV per atom
energy	-5.873	eV/atom
E above lowest polymorph	81	meV/atom